VASP calculation (PBE) on an optimized crystal structure of TmTaTi2O8.

a b c (Å): 4.772 4.773 6.363
angles (deg): 88.99 88.99 87.88
Fractional coordinates of all 12 atoms:
Tm (0.000, 0.000, 0.500)
O (0.320, 0.321, 0.511)
O (0.297, 0.298, 0.986)
Ta (0.000, 0.000, 0.000)
O (0.205, 0.794, 0.773)
O (0.206, 0.795, 0.227)
Ti (0.532, 0.532, 0.253)
O (0.794, 0.205, 0.773)
Ti (0.468, 0.468, 0.747)
O (0.680, 0.679, 0.489)
O (0.703, 0.702, 0.014)
O (0.795, 0.206, 0.227)

## Properties
Formation energy (no corrections): -3.09 eV per atom
Total moment: 0.00 μB/f.u.